Record 1
Computed, not measured: a relaxed BaLaPCl2 crystal at the PBE level of DFT.

Summary:
Space group: P4/mmm, No. 123
Formation energy (no corrections), eV/f.u.: -4.51
Excess energy over the best structure of this formula in the dataset, meV/atom: 742

Structure (CIF):
```
data_BaLaPCl2
_symmetry_space_group_name_H-M 'P 1'
_symmetry_Int_Tables_number 1
_cell_length_a 5.558
_cell_length_b 5.558
_cell_length_c 6.262
_cell_angle_alpha 90.00
_cell_angle_beta 90.00
_cell_angle_gamma 90.00
loop_
_symmetry_equiv_pos_as_xyz
'x,y,z'
loop_
_atom_site_label
_atom_site_fract_x
_atom_site_fract_y
_atom_site_fract_z
La1 0.500 0.500 0.500
P1 0.000 0.000 0.500
Ba1 0.000 0.000 0.000
Cl1 0.000 0.500 0.000
Cl2 0.500 0.000 0.000
```

=====

Record 2
Computed, not measured: a relaxed Ba2LaPbCl crystal at the PBE level of DFT.

Summary:
Space group: P4/mmm, No. 123
Formation energy (no corrections), eV/f.u.: -1.60

Structure (CIF):
```
data_Ba2LaPbCl
_symmetry_space_group_name_H-M 'P 1'
_symmetry_Int_Tables_number 1
_cell_length_a 6.819
_cell_length_b 6.183
_cell_length_c 6.819
_cell_angle_alpha 90.00
_cell_angle_beta 90.00
_cell_angle_gamma 90.00
loop_
_symmetry_equiv_pos_as_xyz
'x,y,z'
loop_
_atom_site_label
_atom_site_fract_x
_atom_site_fract_y
_atom_site_fract_z
Cl1 0.500 0.500 0.500
La1 0.000 0.500 0.000
Pb1 0.000 0.000 0.000
Ba1 0.500 0.000 0.000
Ba2 0.000 0.000 0.500
```

=====

Record 3
Computed, not measured: a relaxed BaLaS2Cl crystal at the PBE level of DFT.

Summary:
Space group: P4/mmm, No. 123
Formation energy (no corrections), eV/f.u.: -4.91
Excess energy over the best structure of this formula in the dataset, meV/atom: 990

Structure (CIF):
```
data_BaLaS2Cl
_symmetry_space_group_name_H-M 'P 1'
_symmetry_Int_Tables_number 1
_cell_length_a 5.772
_cell_length_b 5.772
_cell_length_c 5.507
_cell_angle_alpha 90.00
_cell_angle_beta 90.00
_cell_angle_gamma 90.00
loop_
_symmetry_equiv_pos_as_xyz
'x,y,z'
loop_
_atom_site_label
_atom_site_fract_x
_atom_site_fract_y
_atom_site_fract_z
S1 0.000 0.500 0.000
S2 0.500 0.000 0.000
Ba1 0.000 0.000 0.000
La1 0.500 0.500 0.500
Cl1 0.000 0.000 0.500
```

=====

Record 4
Computed, not measured: a relaxed BaLaS2Cl crystal at the PBE level of DFT.

Summary:
Space group: P4/mmm, No. 123
Formation energy (no corrections), eV/f.u.: -9.86
Excess energy over the best structure of this formula in the dataset, meV/atom: 0

Structure (CIF):
```
data_BaLaS2Cl
_symmetry_space_group_name_H-M 'P 1'
_symmetry_Int_Tables_number 1
_cell_length_a 5.559
_cell_length_b 5.559
_cell_length_c 5.444
_cell_angle_alpha 90.00
_cell_angle_beta 90.00
_cell_angle_gamma 90.00
loop_
_symmetry_equiv_pos_as_xyz
'x,y,z'
loop_
_atom_site_label
_atom_site_fract_x
_atom_site_fract_y
_atom_site_fract_z
S1 0.500 0.000 0.000
S2 0.000 0.500 0.000
La1 0.000 0.000 0.000
Cl1 0.000 0.000 0.500
Ba1 0.500 0.500 0.500
```

=====

Record 5
Computed, not measured: a relaxed BaLaSb2Cl crystal at the PBE level of DFT.

Summary:
Space group: P4/mmm, No. 123
Formation energy (no corrections), eV/f.u.: -1.75

Structure (CIF):
```
data_BaLaSb2Cl
_symmetry_space_group_name_H-M 'P 1'
_symmetry_Int_Tables_number 1
_cell_length_a 5.790
_cell_length_b 5.397
_cell_length_c 5.790
_cell_angle_alpha 90.00
_cell_angle_beta 90.00
_cell_angle_gamma 90.00
loop_
_symmetry_equiv_pos_as_xyz
'x,y,z'
loop_
_atom_site_label
_atom_site_fract_x
_atom_site_fract_y
_atom_site_fract_z
Ba1 0.000 0.500 0.000
La1 0.500 0.500 0.500
Cl1 0.000 0.000 0.000
Sb1 0.500 0.000 0.000
Sb2 0.000 0.000 0.500
```

=====

Record 6
Computed, not measured: a relaxed Ba2LaScCl crystal at the PBE level of DFT.

Summary:
Space group: P4/mmm, No. 123
Formation energy (no corrections), eV/f.u.: -1.72
Excess energy over the best structure of this formula in the dataset, meV/atom: 0

Structure (CIF):
```
data_Ba2LaScCl
_symmetry_space_group_name_H-M 'P 1'
_symmetry_Int_Tables_number 1
_cell_length_a 6.206
_cell_length_b 5.020
_cell_length_c 6.206
_cell_angle_alpha 90.00
_cell_angle_beta 90.00
_cell_angle_gamma 90.00
loop_
_symmetry_equiv_pos_as_xyz
'x,y,z'
loop_
_atom_site_label
_atom_site_fract_x
_atom_site_fract_y
_atom_site_fract_z
Cl1 0.000 0.000 0.000
La1 0.500 0.500 0.500
Ba1 0.000 0.000 0.500
Ba2 0.500 0.000 0.000
Sc1 0.000 0.500 0.000
```

=====

Record 7
Computed, not measured: a relaxed Ba2LaScCl crystal at the PBE level of DFT.

Summary:
Space group: P4/mmm, No. 123
Formation energy (no corrections), eV/f.u.: -1.64
Excess energy over the best structure of this formula in the dataset, meV/atom: 16

Structure (CIF):
```
data_Ba2LaScCl
_symmetry_space_group_name_H-M 'P 1'
_symmetry_Int_Tables_number 1
_cell_length_a 5.999
_cell_length_b 5.636
_cell_length_c 5.999
_cell_angle_alpha 90.00
_cell_angle_beta 90.00
_cell_angle_gamma 90.00
loop_
_symmetry_equiv_pos_as_xyz
'x,y,z'
loop_
_atom_site_label
_atom_site_fract_x
_atom_site_fract_y
_atom_site_fract_z
La1 0.000 0.500 0.000
Ba1 0.500 0.000 0.000
Ba2 0.000 0.000 0.500
Cl1 0.000 0.000 0.000
Sc1 0.500 0.500 0.500
```

=====

Record 8
Computed, not measured: a relaxed BaLaTa2Cl crystal at the PBE level of DFT.

Summary:
Space group: P4/mmm, No. 123
Formation energy (no corrections), eV/f.u.: 5.32

Structure (CIF):
```
data_BaLaTa2Cl
_symmetry_space_group_name_H-M 'P 1'
_symmetry_Int_Tables_number 1
_cell_length_a 5.157
_cell_length_b 6.171
_cell_length_c 5.157
_cell_angle_alpha 90.00
_cell_angle_beta 90.00
_cell_angle_gamma 90.00
loop_
_symmetry_equiv_pos_as_xyz
'x,y,z'
loop_
_atom_site_label
_atom_site_fract_x
_atom_site_fract_y
_atom_site_fract_z
Ta1 0.500 0.000 0.000
Ta2 0.000 0.000 0.500
La1 0.000 0.000 0.000
Cl1 0.000 0.500 0.000
Ba1 0.500 0.500 0.500
```

=====

The calculation returns the following DOS at the Fermi energy values, one per record and in order: 5.1, 5.1, 5.8, 0.0, 3.6, 8.0, 10.9, 4.1 states/eV/f.u..